Material: MnSiCl3
Method: DFT, GGA-PBE
State: relaxed

Summary:
VASP energy: -20.45 eV per cell
Offset from the most stable computed form: 87 meV/atom

```
data_MnSiCl3
_cell_length_a 5.043
_cell_length_b 5.043
_cell_length_c 5.043
_cell_angle_alpha 90.00
_cell_angle_beta 90.00
_cell_angle_gamma 90.00
_space_group_name_H-M_alt 'P m -3 m'
_space_group_IT_number 221
_space_group_name_Hall '-P 4 2 3'
loop_
_atom_site_label
_atom_site_fract_x
_atom_site_fract_y
_atom_site_fract_z
_atom_site_occupancy
Mn1 0.000 0.000 0.000 1
Si1 0.500 0.500 0.500 1
Cl1 0.000 0.500 0.500 1
```

Material: Mg2Ag
Method: DFT, GGA-PBE
State: relaxed

Summary:
VASP energy: -25.63 eV per cell
Energy relative to the elements: -0.37 eV/f.u.

```
data_Mg2Ag
_cell_length_a 11.016
_cell_length_b 3.144
_cell_length_c 7.118
_cell_angle_alpha 90.00
_cell_angle_beta 103.93
_cell_angle_gamma 90.00
_space_group_name_H-M_alt 'C 1 m 1'
_space_group_IT_number 8
loop_
_space_group_symop_operation_xyz
'x,y,z'
'x,-y,z'
'x+1/2,y+1/2,z'
'x+1/2,-y+1/2,z'
loop_
_atom_site_label
_atom_site_fract_x
_atom_site_fract_y
_atom_site_fract_z
_atom_site_occupancy
Mg1 0.000 0.000 0.000 1
Mg2 0.052 0.000 0.583 1
Mg3 0.221 0.500 0.917 1
Mg4 0.363 0.000 0.276 1
Ag1 0.151 0.500 0.314 1
Ag2 0.336 0.000 0.665 1
```

Material: HfCu6Pd8
Method: DFT, GGA-PBE
State: relaxed

Summary:
VASP energy: -231.81 eV per cell
Energy relative to the elements: -1.20 eV/f.u.

```
data_HfCu6Pd8
_cell_length_a 7.9604
_cell_length_b 7.9604
_cell_length_c 12.6090
_cell_angle_alpha 90.00
_cell_angle_beta 90.00
_cell_angle_gamma 120.00
_space_group_name_H-M_alt 'R -3'
_space_group_IT_number 148
_space_group_name_Hall '-R 3'
loop_
_atom_site_label
_atom_site_fract_x
_atom_site_fract_y
_atom_site_fract_z
_atom_site_occupancy
Hf1 0.0000 0.0000 0.0000 1
Cu1 0.0231 0.8270 0.4096 1
Pd1 0.0000 0.0000 0.2333 1
Pd2 0.0258 0.7295 0.9050 1
```

Material: Pm8Ge2C3
Method: DFT, GGA-PBE
State: relaxed

Summary:
VASP energy: -157.03 eV per cell
Energy relative to the elements: -3.60 eV/f.u.

```
data_Pm8Ge2C3
_cell_length_a 14.601
_cell_length_b 7.457
_cell_length_c 6.630
_cell_angle_alpha 90.00
_cell_angle_beta 107.51
_cell_angle_gamma 90.00
_space_group_name_H-M_alt 'C 1 2/m 1'
_space_group_IT_number 12
loop_
_space_group_symop_operation_xyz
'x,y,z'
'-x,-y,-z'
'-x,y,-z'
'x,-y,z'
'x+1/2,y+1/2,z'
'-x+1/2,-y+1/2,-z'
'-x+1/2,y+1/2,-z'
'x+1/2,-y+1/2,z'
loop_
_atom_site_label
_atom_site_fract_x
_atom_site_fract_y
_atom_site_fract_z
_atom_site_occupancy
Pm1 0.100 0.239 0.395 1
Pm2 0.101 0.000 0.904 1
Pm3 0.111 0.500 0.951 1
Ge1 0.244 0.500 0.676 1
C1 0.000 0.000 0.500 1
C2 0.000 0.257 0.000 1
```

> Number 2 is which compound?

Mg2Ag